Computed, not measured: CsTmNiS3 after structural relaxation at the GGA-PBE level of DFT.

Properties
Space group: Cmcm
Polymorph energy (0 for the lowest one): 0.015 eV/atom
Uncorrected energy: -62.2 eV per cell

a b c (Å): 3.934 7.966 10.346
angles (deg): 90.00 90.00 75.70
Fractional positions:
Ni: 0.532 0.935 0.250
Ni: 0.468 0.065 0.750
S: 0.389 0.223 0.566
S: 0.046 0.908 0.750
Cs: 0.742 0.517 0.750
Cs: 0.258 0.483 0.250
S: 0.611 0.777 0.434
S: 0.954 0.092 0.250
Tm: 0.000 0.000 0.500
Tm: 0.000 0.000 0.000
S: 0.611 0.777 0.066
S: 0.389 0.223 0.934